Entry 1:
DFT (PBE) results for Cs2KRbHg after structural relaxation.

Cell lengths 8.4190, 8.4190, 6.6127 Å; angles 90.00, 90.00, 90.00 degrees
Last column: nearest neighbours and their distance in Å.
Space group P4/mmm (No. 123)
Inequivalent atoms, fractional coordinates:
Cs (0.0000, 0.5000, 0.0000)  2 K 4.21
K (0.0000, 0.0000, 0.0000)  2 Hg 3.31
Rb (0.5000, 0.5000, 0.5000)  8 Cs 5.35, 4 Hg 5.95
Hg (0.0000, 0.0000, 0.5000)  2 K 3.31

Properties
Polymorph energy (0 for the lowest one): 158 meV per atom
Energy relative to the elements: 78 meV per atom
V: 93.74 Å³/atom
Calculated total energy: -0.737 eV per atom
Density of states at the Fermi level: 0.77 states/eV per atom


Entry 2:
DFT (PBE) results for Hf8CN6 after structural relaxation.

Cell lengths 8.4086, 8.4086, 3.2298 Å; angles 90.00, 90.00, 120.00 degrees
Last column: nearest neighbours and their distance in Å.
Space group P-3 (No. 147)
Inequivalent atoms, fractional coordinates:
Hf (0.0334, 0.6950, 0.2601)  4 N 2.16-2.35
Hf (0.3333, 0.6667, 0.7528)  6 N 2.26-2.28
C (0.0000, 0.0000, 0.5000)  6 Hf 2.82
N (0.1377, 0.4829, 0.2489)  6 Hf 2.16-2.35

Properties
V: 13.18 Å³/atom
Calculated total energy: -10.318 eV per atom
Formation energy from raw total energies: -1.06 eV/atom
Density of states at the Fermi level: 0.33 states/eV per atom


Entry 3:
DFT (PBE) results for Hf3CdTc2 after structural relaxation.

Cell lengths 3.3068, 3.3068, 10.4124 Å; angles 90.00, 90.00, 90.00 degrees
Last column: nearest neighbours and their distance in Å.
Space group P4/mmm (No. 123)
Inequivalent atoms, fractional coordinates:
Hf (0.0000, 0.0000, 0.0000)  8 Tc 2.88, 2 Hf 3.15
Hf (0.0000, 0.0000, 0.3024)  4 Tc 2.76
Cd (0.5000, 0.5000, 0.5000)  8 Hf 3.11, 4 Cd 3.31
Tc (0.5000, 0.5000, 0.1614)  8 Hf 2.76-2.88

Properties
Energy relative to the elements: -393 meV per atom
V: 18.98 Å³/atom
Calculated total energy: -8.977 eV per atom
Density of states at the Fermi level: 0.58 states/eV per atom


Entry 4:
DFT (PBE) results for Ac3Pa after structural relaxation.

Cell lengths 3.7538, 12.4922, 6.5814 Å; angles 90.00, 90.00, 90.00 degrees
Last column: nearest neighbours and their distance in Å.
Space group Imm2 (No. 44)
Inequivalent atoms, fractional coordinates:
Ac (0.0000, 0.0000, 0.0000)  4 Pa 3.67-3.90, 8 Ac 3.75-3.92
Ac (0.0000, 0.2328, 0.6277)  2 Pa 3.60, 9 Ac 3.75-3.92
Pa (0.0000, 0.5000, 0.9799)  8 Ac 3.60-3.90, 2 Pa 3.75

Properties
Polymorph energy (0 for the lowest one): 0 meV per atom
Energy relative to the elements: 374 meV per atom
V: 38.58 Å³/atom
Calculated total energy: -5.081 eV per atom
Density of states at the Fermi level: 2.04 states/eV per atom


Entry 5:
DFT (PBE) results for CeMgInPb after structural relaxation.

Cell lengths 4.5596, 4.7677, 4.9041 Å; angles 90.00, 90.00, 90.00 degrees
Last column: nearest neighbours and their distance in Å.
Space group Pmmm (No. 47)
Inequivalent atoms, fractional coordinates:
Ce (0.0000, 0.0000, 0.0000)  4 Pb 3.30, 4 In 3.35, 4 Mg 3.42
Mg (0.0000, 0.5000, 0.5000)  4 In 3.30, 4 Pb 3.35, 4 Ce 3.42
In (0.5000, 0.0000, 0.5000)  4 Mg 3.30, 4 Ce 3.35, 4 Pb 3.42
Pb (0.5000, 0.5000, 0.0000)  4 Ce 3.30, 4 Mg 3.35, 4 In 3.42

Properties
Polymorph energy (0 for the lowest one): 0 meV per atom
Energy relative to the elements: -347 meV per atom
V: 26.65 Å³/atom
Calculated total energy: -3.840 eV per atom
Density of states at the Fermi level: 1.65 states/eV per atom


Entry 6:
DFT (PBE) results for RbHW after structural relaxation.

Cell lengths 3.4408, 3.4412, 11.6817 Å; angles 91.79, 93.28, 90.01 degrees
Last column: nearest neighbours and their distance in Å.
Space group P-1 (No. 2)
Inequivalent atoms, fractional coordinates:
Rb (0.1925, 0.2185, 0.2054)  4 H 2.68
H (0.2889, 0.2714, 0.6988)  1 W 1.82
W (0.2584, 0.2546, 0.5428)  1 H 1.82

Properties
Polymorph energy (0 for the lowest one): 0 meV per atom
V: 23.00 Å³/atom
Calculated total energy: -5.411 eV per atom
Density of states at the Fermi level: 0.29 states/eV per atom


Entry 7:
DFT (PBE) results for Na2ReAsPb after structural relaxation.

Cell lengths 5.8644, 5.8644, 5.4094 Å; angles 90.00, 90.00, 90.00 degrees
Last column: nearest neighbours and their distance in Å.
Space group P4/mmm (No. 123)
Inequivalent atoms, fractional coordinates:
Na (0.0000, 0.5000, 0.0000)  2 Pb 2.93
Re (0.0000, 0.0000, 0.5000)  8 Na 3.99, 4 As 4.15
As (0.5000, 0.5000, 0.5000)  2 Pb 2.70
Pb (0.5000, 0.5000, 0.0000)  2 As 2.70, 4 Na 2.93

Properties
Energy relative to the elements: 1551 meV per atom
V: 37.21 Å³/atom
Calculated total energy: -3.138 eV per atom
Density of states at the Fermi level: 0.64 states/eV per atom


Entry 8:
DFT (PBE) results for LiCd2Ir after structural relaxation.

Cell lengths 2.8834, 2.8834, 29.4321 Å; angles 90.00, 90.00, 120.00 degrees
Last column: nearest neighbours and their distance in Å.
Space group R3m (No. 160, hexagonal axes)
Inequivalent atoms, fractional coordinates:
Li (0.0000, 0.0000, 0.0000)  3 Ir 2.61, 6 Li 2.88
Cd (0.0000, 0.0000, 0.2472)  6 Cd 2.88, 3 Li 3.03
Cd (0.0000, 0.0000, 0.4823)  6 Cd 2.88, 3 Ir 2.90
Ir (0.0000, 0.0000, 0.7349)  3 Li 2.61, 6 Ir 2.88, 3 Cd 2.90

Properties
Energy relative to the elements: 46 meV per atom
V: 17.66 Å³/atom
Calculated total energy: -3.105 eV per atom
Density of states at the Fermi level: 0.89 states/eV per atom


Q: Among the records above, which one has the highest V?
A: Cs2KRbHg